Entry 1:
Below is a crystal of SrCo4Ru relaxed with PBEsol, with properties calculated at the meta-GGA SCAN level.

Cell lengths 4.900, 4.900, 4.900 Å; angles 60.00, 60.00, 60.00 degrees
Each line ends with the local moment (μB).
Sites, in units of the cell vectors:
Co 0.376 0.376 0.376  1.88
Co 0.376 0.376 0.871  1.88
Co 0.376 0.871 0.376  1.88
Co 0.871 0.376 0.376  1.88
Ru 0.750 0.750 0.750  1.69
Sr 0.000 0.000 0.000  -0.10

Results
The formation energy is 0.510 eV/atom. The magnetization comes out at 8.84 Bohr magnetons per cell. As for the density of states at the Fermi level: 6.46 states/eV per cell.

=====

Entry 2:
Below is a crystal of Li3SbS relaxed with PBEsol, with properties calculated at the meta-GGA SCAN level.

Cell lengths 4.571, 4.571, 4.571 Å; angles 90.00, 90.00, 90.00 degrees
Sites, in units of the cell vectors:
Li 0.000 0.000 0.500
Li 0.500 0.000 0.000
Li 0.000 0.500 0.000
Sb 0.500 0.500 0.500
S 0.000 0.000 0.000

Results
As for the energy relative to the elements, uncorrected: -0.690 eV/atom. The magnetization comes out at 0.00 Bohr magnetons per cell. As for the density of states at the Fermi level: 3.19 states/eV per cell.

=====

Entry 3:
Below is a crystal of CsAl2Au2 relaxed with PBEsol, with properties calculated at the meta-GGA SCAN level.

Cell lengths 4.447, 4.447, 7.599 Å; angles 107.02, 107.02, 90.00 degrees
Sites, in units of the cell vectors:
Au 0.662 0.662 0.325
Au 0.338 0.338 0.675
Al 0.250 0.750 0.500
Al 0.750 0.250 0.500
Cs 0.000 0.000 0.000

Results
The formation energy is -0.483 eV/atom. The magnetization comes out at 0.00 Bohr magnetons per cell. As for the density of states at the Fermi level: 2.78 states/eV per cell.

=====

Entry 4:
Below is a crystal of K2AlCd relaxed with PBEsol, with properties calculated at the meta-GGA SCAN level.

Cell lengths 3.264, 6.011, 6.970 Å; angles 95.16, 90.00, 105.75 degrees
Sites, in units of the cell vectors:
K 0.250 0.500 0.253
K 0.750 0.500 0.747
Al 0.000 0.000 0.500
Cd 0.500 0.000 0.000

Results
The formation energy is 0.372 eV/atom. The distance to the lowest polymorph of the same formula comes out at 0.242 eV/atom. The magnetization comes out at 0.00 Bohr magnetons per cell. As for the density of states at the Fermi level: 2.30 states/eV per cell.

=====

Entry 5:
Below is a crystal of BaSnSe2Br relaxed with PBEsol, with properties calculated at the meta-GGA SCAN level.

Cell lengths 5.863, 5.878, 5.878 Å; angles 90.00, 90.00, 90.00 degrees
Sites, in units of the cell vectors:
Se 0.000 0.000 0.500
Se 0.000 0.500 0.000
Br 0.500 0.000 0.000
Sn 0.500 0.500 0.500
Ba 0.000 0.000 0.000

Results
As for the energy relative to the elements, uncorrected: -0.198 eV/atom. The magnetization comes out at 0.00 Bohr magnetons per cell. As for the density of states at the Fermi level: 2.57 states/eV per cell.

=====

Entry 6:
Below is a crystal of KMn3 relaxed with PBEsol, with properties calculated at the meta-GGA SCAN level.

Cell lengths 2.828, 5.090, 5.090 Å; angles 90.00, 90.00, 90.00 degrees
Each line ends with the local moment (μB).
Sites, in units of the cell vectors:
Mn 0.000 0.500 0.500  3.94
Mn 0.500 0.000 0.500  4.01
Mn 0.500 0.500 0.000  4.01
K 0.000 0.000 0.000  -0.02

Results
The formation energy is 0.861 eV/atom. The magnetization comes out at 12.28 Bohr magnetons per cell. As for the density of states at the Fermi level: 3.53 states/eV per cell.

=====

What is the magnetization in the fourth record? 0.00 Bohr magnetons per cell

=====

Copy entry 6 word for word.
Below is a crystal of KMn3 relaxed with PBEsol, with properties calculated at the meta-GGA SCAN level.

Cell lengths 2.828, 5.090, 5.090 Å; angles 90.00, 90.00, 90.00 degrees
Each line ends with the local moment (μB).
Sites, in units of the cell vectors:
Mn 0.000 0.500 0.500  3.94
Mn 0.500 0.000 0.500  4.01
Mn 0.500 0.500 0.000  4.01
K 0.000 0.000 0.000  -0.02

Results
The formation energy is 0.861 eV/atom. The magnetization comes out at 12.28 Bohr magnetons per cell. As for the density of states at the Fermi level: 3.53 states/eV per cell.